Entry A
Compound: TcSeS
Source: Alexandria via LeMat-Bulk
Functional: PBE-GGA
Structure: optimized geometry

abc: 7.8582 7.8582 5.8731
angles: 111.30 111.30 23.30
Fractional positions:
Tc 0.0000 0.0000 0.0000
Tc 0.5050 0.5050 0.4028
Se 0.3736 0.3736 0.0037
Se 0.6053 0.6053 0.8713
S 0.1180 0.1180 0.3829
S 0.9178 0.9178 0.5484

SG: Cm, No. 8
Crystal system: monoclinic

---

Entry B
Compound: TcSeS
Source: Alexandria via LeMat-Bulk
Functional: PBE-GGA
Structure: optimized geometry

abc: 3.1215 3.1215 7.2375
angles: 90.61 90.61 60.10
Fractional positions:
Tc 0.0000 0.0000 0.0000
Se 0.6713 0.6713 0.2633
S 0.3300 0.3300 0.7893

SG: Cm, No. 8
Crystal system: monoclinic

---

Entry C
Compound: TcSeS
Source: Alexandria via LeMat-Bulk
Functional: PBE-GGA
Structure: optimized geometry

abc: 3.0420 6.1030 7.3408
angles: 100.04 90.28 104.40
Fractional positions:
Tc 0.0000 0.0000 0.0000
Tc 0.3002 0.5982 0.0549
Se 0.1670 0.3275 0.2860
Se 0.3806 0.7666 0.7679
S 0.6397 0.2814 0.8791
S 0.9093 0.8121 0.2497

SG: P1, No. 1
Crystal system: triclinic

---

Most stable structure: entry A

---

Entry A
Compound: TcSeS
Source: Alexandria via LeMat-Bulk
Functional: PBE-GGA
Structure: optimized geometry

abc: 5.8726 3.1716 7.4669
angles: 90.00 107.33 90.00
Fractional positions:
Tc 0.0000 0.0000 0.0000
Tc 0.3941 0.5000 0.9899
Se 0.1713 0.0000 0.7363
Se 0.7054 0.0000 0.2013
S 0.2157 0.5000 0.2266
S 0.7033 0.5000 0.8249

SG: Pm, No. 6
Crystal system: monoclinic

---

Entry B
Compound: TcSeS
Source: Alexandria via LeMat-Bulk
Functional: PBE-GGA
Structure: optimized geometry

abc: 3.4171 3.4171 6.7489
angles: 104.68 104.68 56.17
Fractional positions:
Tc 0.0000 0.0000 0.0000
Se 0.7539 0.7539 0.2504
S 0.6054 0.6054 0.7834

SG: Cm, No. 8
Crystal system: monoclinic

---

Most stable structure: entry A

---

Entry A
Compound: TcSeS
Source: Alexandria via LeMat-Bulk
Functional: PBE-GGA
Structure: optimized geometry

abc: 7.3224 7.3224 5.8822
angles: 99.48 99.48 24.86
Fractional positions:
Tc 0.0000 0.0000 0.0000
Tc 0.5052 0.5052 0.3999
Se 0.1338 0.1338 0.3246
Se 0.8974 0.8974 0.5890
S 0.3854 0.3854 0.0837
S 0.5887 0.5887 0.8041

SG: Cm, No. 8
Crystal system: monoclinic

---

Entry B
Compound: TcSeS
Source: Alexandria via LeMat-Bulk
Functional: PBE-GGA
Structure: optimized geometry

abc: 6.6487 6.8982 5.9298
angles: 90.00 112.65 90.00
Fractional positions:
Tc 0.0111 0.1017 0.3155
Tc 0.0111 0.3983 0.8155
Tc 0.9889 0.6017 0.1845
Tc 0.9889 0.8983 0.6845
Se 0.2368 0.1205 0.0395
Se 0.2368 0.3795 0.5395
Se 0.7632 0.6205 0.4605
Se 0.7632 0.8795 0.9605
S 0.2360 0.6534 0.9984
S 0.2360 0.8466 0.4984
S 0.7640 0.1534 0.5016
S 0.7640 0.3466 0.0016

SG: P2_1/c, No. 14
Crystal system: monoclinic

---

Most stable structure: entry A